Record 1
An optimized crystal structure of Sc2BiIr. Source: Alexandria, functional PBE.

Lattice parameters (Å, degrees): 3.295 3.295 8.039 90.00 90.00 90.00
Positions (direct):
Sc  0.000  0.000  0.806
Sc  0.000  0.000  0.194
Ir  0.500  0.500  0.000
Bi  0.500  0.500  0.500

Calculated values
As for the space group: P4/mmm, No. 123. For the energy relative to the elements, the calculation gives -0.68 eV per atom. The crystal system is tetragonal.

***

Record 2
An optimized crystal structure of Sc2BiIr. Source: Alexandria, functional PBE.

Lattice parameters (Å, degrees): 7.651 7.651 6.273 52.42 52.42 90.00
Positions (direct):
Sc  0.571  0.125  0.250
Sc  0.179  0.625  0.250
Sc  0.375  0.429  0.750
Sc  0.875  0.821  0.750
Ir  0.500  0.500  0.000
Ir  0.250  0.750  0.500
Bi  0.000  0.000  0.000
Bi  0.750  0.250  0.500

Calculated values
As for the space group: I-42d, No. 122. For the energy relative to the elements, the calculation gives -0.38 eV per atom. The crystal system is tetragonal.

***

Record 3
An optimized crystal structure of ScBi2Ir. Source: Alexandria, functional PBE.

Lattice parameters (Å, degrees): 5.026 5.026 5.026 60.00 60.00 60.00
Last column: magnetic moment on the atom in μB.
Positions (direct):
Sc  0.000  0.000  0.000  0.28
Ir  0.500  0.500  0.500  0.08
Bi  0.250  0.250  0.250  0.04
Bi  0.750  0.750  0.750  0.04

Calculated values
As for the space group: Fm-3m, No. 225. For the energy relative to the elements, the calculation gives 0.03 eV per atom. The value obtained for the energy relative to the lowest polymorph listed for this composition is 0 meV/atom. The crystal system is cubic.

***

Record 4
An optimized crystal structure of Sc3BiIr. Source: Alexandria, functional PBE.

Lattice parameters (Å, degrees): 5.268 5.268 5.268 90.00 90.00 90.00
Last column: magnetic moment on the atom in μB.
Positions (direct):
Sc  0.000  0.500  0.000  0.21
Sc  0.000  0.000  0.500  0.26
Sc  0.500  0.000  0.000  0.20
Ir  0.500  0.500  0.500  -0.18
Bi  0.000  0.000  0.000  0.02

Calculated values
As for the space group: Pm-3m, No. 221. For the energy relative to the elements, the calculation gives 0.91 eV per atom. The value obtained for the energy relative to the lowest polymorph listed for this composition is 1368 meV/atom. The crystal system is cubic.

***

Record 5
An optimized crystal structure of Sc4BiIr. Source: Alexandria, functional PBE.

Lattice parameters (Å, degrees): 5.409 6.128 9.041 90.00 116.48 90.00
Positions (direct):
Sc  0.592  0.250  0.449
Sc  0.408  0.750  0.551
Sc  0.627  0.250  0.833
Sc  0.373  0.750  0.167
Sc  0.932  0.007  0.256
Sc  0.068  0.507  0.744
Sc  0.932  0.493  0.256
Sc  0.068  0.993  0.744
Bi  0.301  0.250  0.075
Bi  0.699  0.750  0.925
Ir  0.181  0.250  0.538
Ir  0.819  0.750  0.462

Calculated values
As for the space group: P2_1/m, No. 11. For the energy relative to the elements, the calculation gives -0.62 eV per atom. The value obtained for the energy relative to the lowest polymorph listed for this composition is 0 meV/atom. The crystal system is monoclinic.

***

Record 6
An optimized crystal structure of ScBi2Ir. Source: Alexandria, functional PBE.

Lattice parameters (Å, degrees): 4.526 4.526 10.250 77.25 77.25 90.00
Positions (direct):
Sc  0.500  0.500  0.000
Sc  0.250  0.750  0.500
Ir  0.000  0.000  0.000
Ir  0.750  0.250  0.500
Bi  0.640  0.125  0.250
Bi  0.110  0.625  0.250
Bi  0.375  0.360  0.750
Bi  0.875  0.890  0.750

Calculated values
As for the space group: I-42d, No. 122. For the energy relative to the elements, the calculation gives 0.09 eV per atom. The value obtained for the energy relative to the lowest polymorph listed for this composition is 63 meV/atom. The crystal system is tetragonal.

***

Record 7
An optimized crystal structure of Sc2Bi2Ir. Source: Alexandria, functional PBE.

Lattice parameters (Å, degrees): 7.284 7.284 4.394 90.00 90.00 90.00
Positions (direct):
Sc  0.160  0.660  0.500
Sc  0.660  0.840  0.500
Sc  0.840  0.340  0.500
Sc  0.340  0.160  0.500
Ir  0.000  0.000  0.000
Ir  0.500  0.500  0.000
Bi  0.348  0.848  0.000
Bi  0.848  0.652  0.000
Bi  0.652  0.152  0.000
Bi  0.152  0.348  0.000

Calculated values
As for the space group: P4/mbm, No. 127. For the energy relative to the elements, the calculation gives -0.18 eV per atom. The crystal system is tetragonal.

***

Record 8
An optimized crystal structure of Sc2BiIr. Source: Alexandria, functional PBE.

Lattice parameters (Å, degrees): 10.563 10.563 10.563 17.26 17.26 17.26
Positions (direct):
Sc  0.922  0.922  0.922
Sc  0.078  0.078  0.078
Ir  0.000  0.000  0.000
Bi  0.500  0.500  0.500

Calculated values
As for the space group: R-3m, No. 166. For the energy relative to the elements, the calculation gives 0.16 eV per atom. The crystal system is trigonal.

***

Record 9
An optimized crystal structure of ScBi2Ir2. Source: Alexandria, functional PBE.

Lattice parameters (Å, degrees): 7.151 7.151 4.216 90.00 90.00 90.00
Positions (direct):
Sc  0.000  0.000  0.000
Sc  0.500  0.500  0.000
Ir  0.366  0.866  0.000
Ir  0.866  0.634  0.000
Ir  0.634  0.134  0.000
Ir  0.134  0.366  0.000
Bi  0.173  0.673  0.500
Bi  0.673  0.827  0.500
Bi  0.827  0.327  0.500
Bi  0.327  0.173  0.500

Calculated values
As for the space group: P4/mbm, No. 127. For the energy relative to the elements, the calculation gives -0.07 eV per atom. The crystal system is tetragonal.

***

Record 10
An optimized crystal structure of ScTaBiIr2. Source: Alexandria, functional PBE.

Lattice parameters (Å, degrees): 4.826 5.103 4.826 90.00 90.00 90.00
Positions (direct):
Sc  0.000  0.500  0.000
Ir  0.000  0.000  0.500
Ir  0.500  0.000  0.000
Bi  0.500  0.500  0.500
Ta  0.000  0.000  0.000

Calculated values
As for the space group: P4/mmm, No. 123. For the energy relative to the elements, the calculation gives 0.80 eV per atom. The crystal system is tetragonal.

***

Record 11
An optimized crystal structure of ScTi2BiIr. Source: Alexandria, functional PBE.

Lattice parameters (Å, degrees): 4.780 5.119 4.780 90.00 90.00 90.00
Positions (direct):
Sc  0.000  0.500  0.000
Ir  0.000  0.000  0.000
Bi  0.500  0.500  0.500
Ti  0.000  0.000  0.500
Ti  0.500  0.000  0.000

Calculated values
As for the space group: P4/mmm, No. 123. For the energy relative to the elements, the calculation gives -0.13 eV per atom. The crystal system is tetragonal.

***

Record 12
An optimized crystal structure of Bi3Ir2Se3. Source: Alexandria, functional PBE.

Lattice parameters (Å, degrees): 9.395 9.395 9.395 90.18 90.18 89.82
Positions (direct):
Bi  0.853  0.343  0.006
Bi  0.147  0.657  0.994
Bi  0.355  0.156  0.503
Bi  0.156  0.497  0.645
Bi  0.497  0.355  0.844
Bi  0.343  0.994  0.147
Bi  0.645  0.844  0.497
Bi  0.844  0.503  0.355
Bi  0.006  0.147  0.343
Bi  0.994  0.853  0.657
Bi  0.657  0.006  0.853
Bi  0.503  0.645  0.156
Ir  0.755  0.259  0.746
Ir  0.245  0.741  0.254
Ir  0.259  0.254  0.245
Ir  0.741  0.746  0.755
Ir  0.254  0.755  0.741
Ir  0.758  0.758  0.242
Ir  0.746  0.245  0.259
Ir  0.242  0.242  0.758
Se  0.842  0.675  0.997
Se  0.825  0.507  0.660
Se  0.997  0.158  0.675
Se  0.675  0.003  0.158
Se  0.003  0.842  0.325
Se  0.175  0.493  0.340
Se  0.493  0.660  0.825
Se  0.340  0.825  0.493
Se  0.660  0.175  0.507
Se  0.325  0.997  0.842
Se  0.507  0.340  0.175
Se  0.158  0.325  0.003

Calculated values
As for the space group: R-3, No. 148. For the energy relative to the elements, uncorrected, the calculation gives -1.0 eV per formula unit. The crystal system is trigonal.

***

Record 13
An optimized crystal structure of Bi2IrSe. Source: Alexandria, functional PBE.

Lattice parameters (Å, degrees): 6.489 6.489 7.830 65.52 65.52 90.00
Positions (direct):
Ir  0.000  0.000  0.000
Ir  0.750  0.250  0.500
Bi  0.668  0.125  0.250
Bi  0.082  0.625  0.250
Bi  0.375  0.332  0.750
Bi  0.875  0.918  0.750
Se  0.500  0.500  0.000
Se  0.250  0.750  0.500

Calculated values
As for the space group: I-42d, No. 122. For the energy relative to the elements, uncorrected, the calculation gives 0.9 eV per formula unit. The crystal system is tetragonal.

***

Record 14
An optimized crystal structure of BiIrSe. Source: Alexandria, functional PBE.

Lattice parameters (Å, degrees): 4.074 6.632 10.684 90.00 90.00 90.00
Positions (direct):
Ir  0.250  0.893  0.876
Ir  0.750  0.607  0.124
Ir  0.750  0.393  0.624
Ir  0.250  0.107  0.376
Bi  0.750  0.234  0.227
Bi  0.250  0.266  0.773
Bi  0.250  0.734  0.273
Bi  0.750  0.766  0.727
Se  0.750  0.950  0.022
Se  0.250  0.550  0.978
Se  0.250  0.450  0.478
Se  0.750  0.050  0.522

Calculated values
As for the space group: Pnma, No. 62. For the energy relative to the elements, uncorrected, the calculation gives -0.4 eV per formula unit. The crystal system is orthorhombic.

***

Record 15
An optimized crystal structure of BiIrSe. Source: Alexandria, functional PBE.

Lattice parameters (Å, degrees): 5.282 6.863 7.587 88.51 90.00 90.00
Positions (direct):
Bi  0.274  0.572  0.104
Bi  0.226  0.572  0.604
Bi  0.726  0.428  0.896
Bi  0.774  0.428  0.396
Ir  0.482  0.222  0.642
Ir  0.982  0.778  0.858
Ir  0.518  0.778  0.358
Ir  0.018  0.222  0.142
Se  0.767  0.934  0.596
Se  0.733  0.934  0.096
Se  0.233  0.066  0.404
Se  0.267  0.066  0.904

Calculated values
As for the space group: P2_1/c, No. 14. For the energy relative to the elements, uncorrected, the calculation gives -0.4 eV per formula unit. The crystal system is monoclinic.

***

Record 16
An optimized crystal structure of BiIrSe. Source: Alexandria, functional PBE.

Lattice parameters (Å, degrees): 6.378 6.643 6.633 104.82 90.00 90.00
Positions (direct):
Bi  0.633  0.359  0.144
Bi  0.367  0.641  0.856
Bi  0.867  0.859  0.144
Bi  0.133  0.141  0.856
Ir  0.015  0.257  0.268
Ir  0.485  0.757  0.268
Ir  0.985  0.743  0.732
Ir  0.515  0.243  0.732
Se  0.627  0.860  0.639
Se  0.373  0.140  0.361
Se  0.127  0.640  0.361
Se  0.873  0.360  0.639

Calculated values
As for the space group: P2_1/c, No. 14. For the energy relative to the elements, uncorrected, the calculation gives -0.7 eV per formula unit. The crystal system is monoclinic.

***

Record 17
An optimized crystal structure of Bi2IrSe2. Source: Alexandria, functional PBE.

Lattice parameters (Å, degrees): 6.588 6.588 5.956 90.00 90.00 90.00
Positions (direct):
Ir  0.000  0.000  0.000
Ir  0.500  0.500  0.000
Bi  0.305  0.805  0.500
Bi  0.805  0.695  0.500
Bi  0.695  0.195  0.500
Bi  0.195  0.305  0.500
Se  0.337  0.837  0.000
Se  0.837  0.663  0.000
Se  0.663  0.163  0.000
Se  0.163  0.337  0.000

Calculated values
As for the space group: P4/mbm, No. 127. For the energy relative to the elements, uncorrected, the calculation gives 0.7 eV per formula unit. The crystal system is tetragonal.

***

Record 18
An optimized crystal structure of BiIr2Se. Source: Alexandria, functional PBE.

Lattice parameters (Å, degrees): 4.705 4.705 4.705 60.00 60.00 60.00
Positions (direct):
Ir  0.250  0.250  0.250
Ir  0.750  0.750  0.750
Bi  0.500  0.500  0.500
Se  0.000  0.000  0.000

Calculated values
As for the space group: Fm-3m, No. 225. For the energy relative to the elements, uncorrected, the calculation gives 2.4 eV per formula unit. The value obtained for the energy relative to the lowest polymorph listed for this composition is 311 meV/atom. The crystal system is cubic.

***

Record 19
An optimized crystal structure of Bi6IrSe2. Source: Alexandria, functional PBE.

Lattice parameters (Å, degrees): 8.773 8.773 8.817 93.06 93.06 127.68
Positions (direct):
Bi  0.676  0.695  0.169
Bi  0.305  0.324  0.331
Bi  0.324  0.305  0.831
Bi  0.695  0.676  0.669
Bi  0.980  0.558  0.266
Bi  0.442  0.020  0.234
Bi  0.020  0.442  0.734
Bi  0.558  0.980  0.766
Bi  0.146  0.951  0.570
Bi  0.049  0.854  0.930
Bi  0.854  0.049  0.430
Bi  0.951  0.146  0.070
Ir  0.074  0.926  0.250
Ir  0.926  0.074  0.750
Se  0.343  0.705  0.985
Se  0.295  0.657  0.515
Se  0.657  0.295  0.015
Se  0.705  0.343  0.485

Calculated values
As for the space group: C2/c, No. 15. For the energy relative to the elements, uncorrected, the calculation gives -0.3 eV per formula unit. The crystal system is monoclinic.

***

Record 20
An optimized crystal structure of BiIr2Se. Source: Alexandria, functional PBE.

Lattice parameters (Å, degrees): 4.790 4.790 8.392 73.42 73.42 90.00
Positions (direct):
Ir  0.537  0.125  0.250
Ir  0.213  0.625  0.250
Ir  0.375  0.463  0.750
Ir  0.875  0.787  0.750
Bi  0.000  0.000  0.000
Bi  0.750  0.250  0.500
Se  0.500  0.500  0.000
Se  0.250  0.750  0.500

Calculated values
As for the space group: I-42d, No. 122. For the energy relative to the elements, uncorrected, the calculation gives 1.2 eV per formula unit. The value obtained for the energy relative to the lowest polymorph listed for this composition is 0 meV/atom. The crystal system is tetragonal.